Record 1
DFT (PBE-GGA) results for a geometry-optimized BaTl2As2Au structure.

Cell lengths 5.810, 5.810, 11.544 Å; angles 90.00, 90.00, 90.00 degrees
Fractional positions:
1 Ba 0.000 0.000 0.000
2 Ba 0.500 0.500 0.500
3 Tl 0.000 0.500 0.250
4 Tl 0.000 0.500 0.750
5 Tl 0.500 0.000 0.250
6 Tl 0.500 0.000 0.750
7 As 0.000 0.000 0.290
8 As 0.000 0.000 0.710
9 As 0.500 0.500 0.210
10 As 0.500 0.500 0.790
11 Au 0.000 0.000 0.500
12 Au 0.500 0.500 0.000

Output
Energy of formation from the pure elements ... -0.214 eV per atom
Total DFT energy (no corrections) ... -3.419 eV/atom
Calculated volume ... 32.47 Å³/atom

Record 2
DFT (PBE-GGA) results for a geometry-optimized PmSc3Sn3 structure.

Cell lengths 8.820, 8.820, 5.177 Å; angles 90.00, 90.00, 120.00 degrees
Fractional positions:
1 Pm 0.333 0.667 0.250
2 Pm 0.667 0.333 0.750
3 Sc 0.008 0.230 0.250
4 Sc 0.222 0.992 0.250
5 Sc 0.230 0.222 0.750
6 Sc 0.770 0.778 0.250
7 Sc 0.778 0.008 0.750
8 Sc 0.992 0.770 0.750
9 Sn 0.073 0.439 0.750
10 Sn 0.366 0.927 0.750
11 Sn 0.439 0.366 0.250
12 Sn 0.561 0.634 0.750
13 Sn 0.634 0.073 0.250
14 Sn 0.927 0.561 0.250

Output
Energy of formation from the pure elements ... -0.536 eV per atom
Total DFT energy (no corrections) ... -5.644 eV/atom
Calculated volume ... 24.91 Å³/atom

Record 3
DFT (PBE-GGA) results for a geometry-optimized DyHoZnGe structure.

Cell lengths 4.101, 4.195, 10.813 Å; angles 90.00, 90.00, 90.00 degrees
Fractional positions:
1 Dy 0.000 0.000 0.000
2 Dy 0.000 0.500 0.500
3 Ho 0.500 0.000 0.718
4 Ho 0.500 0.500 0.218
5 Zn 0.000 0.000 0.284
6 Zn 0.000 0.500 0.784
7 Ge 0.500 0.000 0.436
8 Ge 0.500 0.500 0.936

Output
Energy of formation from the pure elements ... -0.622 eV per atom
Total DFT energy (no corrections) ... -4.390 eV/atom
Calculated volume ... 23.25 Å³/atom
Excess energy over the best structure of this formula in the dataset ... 0.0 meV/atom